Here is a geometry-optimized K2MgZr structure from the Alexandria database. Energies are from PBE.

Lattice parameters (Å, degrees): 5.9277 5.9277 5.9277 60.00 60.00 60.00
Fractional positions:
K (0.0000, 0.0000, 0.0000)
K (0.2500, 0.2500, 0.2500)
Mg (0.5000, 0.5000, 0.5000)
Zr (0.7500, 0.7500, 0.7500)

Properties
For the density of states at the Fermi level, the calculation gives 1.7375 states/eV/atom. Its symmetry is No. 216. For the formation energy, the calculation gives 0.89 eV/atom. As for the total DFT energy (no corrections): -8.8 eV for the cell shown.

Here is a geometry-optimized KMgZr structure from the Alexandria database. Energies are from PBE.

Lattice parameters (Å, degrees): 8.8552 8.8552 8.8552 158.65 158.65 30.38
Fractional positions:
K (0.9984, 0.9984, 0.0000)
Mg (0.3101, 0.3101, 0.0000)
Zr (0.6915, 0.6915, 0.0000)

Properties
For the density of states at the Fermi level, the calculation gives 0.9587 states/eV/atom. Its symmetry is No. 107. For the formation energy, the calculation gives 0.48 eV/atom. As for the total DFT energy (no corrections): -9.8 eV for the cell shown.

Here is a geometry-optimized KMg14Zr structure from the Alexandria database. Energies are from PBE.

Lattice parameters (Å, degrees): 6.5821 6.5821 10.4054 90.00 90.00 120.00
Fractional positions:
K (0.0000, 0.0000, 0.5000)
Mg (0.9991, 0.4996, 0.0000)
Mg (0.0092, 0.5046, 0.5000)
Mg (0.5004, 0.0009, 0.0000)
Mg (0.4954, 0.9908, 0.5000)
Mg (0.5004, 0.4996, 0.0000)
Mg (0.4954, 0.5046, 0.5000)
Mg (0.1684, 0.8316, 0.2362)
Mg (0.1684, 0.8316, 0.7638)
Mg (0.1684, 0.3367, 0.2362)
Mg (0.1684, 0.3367, 0.7638)
Mg (0.6633, 0.8316, 0.2362)
Mg (0.6633, 0.8316, 0.7638)
Mg (0.6667, 0.3333, 0.2538)
Mg (0.6667, 0.3333, 0.7462)
Zr (0.0000, 0.0000, 0.0000)

Properties
For the density of states at the Fermi level, the calculation gives 0.4911 states/eV/atom. Its symmetry is No. 187. For the formation energy, the calculation gives 0.11 eV/atom. As for the total DFT energy (no corrections): -30.3 eV for the cell shown.

Here is a geometry-optimized K2MgZr structure from the Alexandria database. Energies are from PBE.

Lattice parameters (Å, degrees): 9.9799 9.9799 7.7813 50.11 50.11 90.00
Fractional positions:
K (0.6026, 0.1250, 0.2500)
K (0.1474, 0.6250, 0.2500)
K (0.3750, 0.3974, 0.7500)
K (0.8750, 0.8526, 0.7500)
Mg (0.5000, 0.5000, 0.0000)
Mg (0.2500, 0.7500, 0.5000)
Zr (0.0000, 0.0000, 0.0000)
Zr (0.7500, 0.2500, 0.5000)

Properties
For the density of states at the Fermi level, the calculation gives 1.6429 states/eV/atom. Its symmetry is No. 122. For the formation energy, the calculation gives 1.04 eV/atom. As for the total DFT energy (no corrections): -16.4 eV for the cell shown.

Here is a geometry-optimized KMg2Zr structure from the Alexandria database. Energies are from PBE.

Lattice parameters (Å, degrees): 6.3459 6.3459 6.1461 76.70 76.70 27.48
Fractional positions:
K (0.2666, 0.2666, 0.1922)
Mg (0.0246, 0.0246, 0.0320)
Mg (0.7334, 0.7334, 0.6986)
Zr (0.4754, 0.4754, 0.5771)

Properties
For the density of states at the Fermi level, the calculation gives 1.2179 states/eV/atom. Its symmetry is No. 8. For the formation energy, the calculation gives 0.43 eV/atom. As for the total DFT energy (no corrections): -11.1 eV for the cell shown.

Here is a geometry-optimized KMgZr structure from the Alexandria database. Energies are from PBE.

Lattice parameters (Å, degrees): 5.4248 5.4248 5.4248 60.00 60.00 60.00
Fractional positions:
K (0.5000, 0.5000, 0.5000)
Mg (0.7500, 0.7500, 0.7500)
Zr (0.0000, 0.0000, 0.0000)

Properties
For the density of states at the Fermi level, the calculation gives 1.6755 states/eV/atom. Its symmetry is No. 216. For the formation energy, the calculation gives 1.23 eV/atom. As for the total DFT energy (no corrections): -7.5 eV for the cell shown.

Here is a geometry-optimized KMg2Zr structure from the Alexandria database. Energies are from PBE.

Lattice parameters (Å, degrees): 7.1089 7.1089 7.1089 154.97 126.64 59.81
Fractional positions:
K (0.2500, 0.7500, 0.5000)
Mg (0.9694, 0.9694, 0.0000)
Mg (0.5306, 0.5306, 0.0000)
Zr (0.7500, 0.2500, 0.5000)

Properties
For the density of states at the Fermi level, the calculation gives 0.8486 states/eV/atom. Its symmetry is No. 71. For the formation energy, the calculation gives 0.63 eV/atom. As for the total DFT energy (no corrections): -10.3 eV for the cell shown.

Here is a geometry-optimized KMg6Zr structure from the Alexandria database. Energies are from PBE.

Lattice parameters (Å, degrees): 6.6974 6.6974 4.6597 90.00 90.00 89.98
Fractional positions:
K (0.8751, 0.1249, 0.0000)
Mg (0.8749, 0.6248, 0.0000)
Mg (0.3752, 0.1251, 0.0000)
Mg (0.6005, 0.8506, 0.5000)
Mg (0.1494, 0.3995, 0.5000)
Mg (0.1493, 0.8507, 0.5000)
Mg (0.6006, 0.3994, 0.5000)
Zr (0.3749, 0.6251, 0.0000)

Properties
For the density of states at the Fermi level, the calculation gives 0.8896 states/eV/atom. Its symmetry is No. 123. For the formation energy, the calculation gives 0.19 eV/atom. As for the total DFT energy (no corrections): -17.7 eV for the cell shown.

Which formula does entry 8 have?
KMg6Zr